Entry 1:
## YAlB2P (PBE-GGA)

Data for crystalline YAlB2P at its relaxed geometry.

- Calculated formation energy: 0.551 eV/atom
- Calculated volume: 82.19 Å³/cell

a b c (Å): 4.132 4.132 4.814
angles (deg): 90.00 90.00 90.00
Fractional coordinates of all 5 atoms:
1 Y 0.000 0.000 0.000
2 Al 0.500 0.500 0.500
3 B 0.000 0.500 0.500
4 B 0.500 0.000 0.500
5 P 0.500 0.500 0.000

***

Entry 2:
## Pa3AlB (PBE-GGA)

Data for crystalline Pa3AlB at its relaxed geometry.

- Calculated formation energy: 0.012 eV/atom
- Calculated volume: 113.03 Å³/cell

a b c (Å): 4.835 4.835 4.835
angles (deg): 90.00 90.00 90.00
Fractional coordinates of all 5 atoms:
1 Pa 0.000 0.000 0.500
2 Pa 0.000 0.500 0.000
3 Pa 0.500 0.000 0.000
4 Al 0.500 0.500 0.500
5 B 0.000 0.000 0.000

***

Entry 3:
## PaAlB4 (PBE-GGA)

Data for crystalline PaAlB4 at its relaxed geometry.

- Calculated formation energy: -0.478 eV/atom
- Calculated volume: 125.37 Å³/cell

a b c (Å): 5.970 5.970 3.626
angles (deg): 90.00 90.00 104.03
Fractional coordinates of all 12 atoms:
1 Pa 0.197 0.803 0.000
2 Pa 0.803 0.197 0.000
3 Al 0.320 0.320 0.000
4 Al 0.680 0.680 0.000
5 B 0.118 0.438 0.500
6 B 0.121 0.121 0.500
7 B 0.408 0.592 0.500
8 B 0.438 0.118 0.500
9 B 0.562 0.882 0.500
10 B 0.592 0.408 0.500
11 B 0.879 0.879 0.500
12 B 0.882 0.562 0.500